# Na2SrCa2

A geometry-optimized Na2SrCa2 structure (PBE-GGA, Alexandria via LeMat-Bulk).

Computed properties:
**Formation energy from the elements**: 3 kJ per mole of atoms
**Magnetization**: 0.00 μB/cell
**E_tot**: -1.632 eV/atom
**Excess energy over the best structure of this formula in the dataset**: 0.0 meV per atom

Cell lengths 16.0195, 16.0195, 4.3670 Å; angles 90.10, 90.10, 22.43 degrees
Sites, in units of the cell vectors:
Na 0.1478 0.1478 0.2488
Na 0.2416 0.2416 0.7500
Na 0.7584 0.7584 0.2500
Na 0.8522 0.8522 0.7512
Sr 0.3481 0.3481 0.2507
Sr 0.6519 0.6519 0.7493
Ca 0.0511 0.0511 0.7499
Ca 0.4527 0.4527 0.7502
Ca 0.5473 0.5473 0.2498
Ca 0.9489 0.9489 0.2501